[1]
Here is a relaxed TeRh3Cl crystal from the Alexandria database. Energies are from PBE.

Geometry as CIF:
```
data_TeRh3Cl
_cell_length_a 4.9139
_cell_length_b 4.9139
_cell_length_c 4.9139
_cell_angle_alpha 90.00
_cell_angle_beta 90.00
_cell_angle_gamma 90.00
_space_group_name_H-M_alt 'P 1'
_space_group_IT_number 1
loop_
_space_group_symop_operation_xyz
'x,y,z'
loop_
_atom_site_label
_atom_site_type_symbol
_atom_site_fract_x
_atom_site_fract_y
_atom_site_fract_z
Te1 Te 0.0000 0.0000 0.0000
Rh1 Rh 0.0000 0.0000 0.5000
Rh2 Rh 0.0000 0.5000 0.0000
Rh3 Rh 0.5000 0.0000 0.0000
Cl1 Cl 0.5000 0.5000 0.5000
```

Calculated values
Uncorrected energy   -22.266 eV for the cell shown
Excess energy over the best structure of this formula in the dataset   290 meV per atom
Uncorrected formation energy   955 meV/atom
Calculated density   6.60 Mg/m³

***

[2]
Here is a relaxed Sm4InCu crystal from the Alexandria database. Energies are from PBE.

Geometry as CIF:
```
data_Sm4InCu
_cell_length_a 6.3275
_cell_length_b 9.1822
_cell_length_c 6.1307
_cell_angle_alpha 90.00
_cell_angle_beta 105.86
_cell_angle_gamma 90.00
_space_group_name_H-M_alt 'P 1'
_space_group_IT_number 1
loop_
_space_group_symop_operation_xyz
'x,y,z'
loop_
_atom_site_label
_atom_site_type_symbol
_atom_site_fract_x
_atom_site_fract_y
_atom_site_fract_z
Sm1 Sm 0.0974 0.1715 0.1266
Sm2 Sm 0.0974 0.3285 0.6266
Sm3 Sm 0.3818 0.6542 0.9401
Sm4 Sm 0.3818 0.8458 0.4401
Sm5 Sm 0.6182 0.1542 0.5599
Sm6 Sm 0.6182 0.3458 0.0599
Sm7 Sm 0.9026 0.6715 0.3734
Sm8 Sm 0.9026 0.8285 0.8734
In1 In 0.5000 0.0000 0.0000
In2 In 0.5000 0.5000 0.5000
Cu1 Cu 0.0000 0.0000 0.5000
Cu2 Cu 0.0000 0.5000 0.0000
```

Calculated values
Uncorrected energy   -52.046 eV for the cell shown
Excess energy over the best structure of this formula in the dataset   145 meV per atom
Energy of formation from the pure elements   -0.05 eV per atom
Calculated density   7.56 Mg/m³

***

[3]
Here is a relaxed Sr2Cd6Hg21 crystal from the Alexandria database. Energies are from PBE.

Geometry as CIF:
```
data_Sr2Cd6Hg21
_cell_length_a 10.6019
_cell_length_b 10.6019
_cell_length_c 10.6019
_cell_angle_alpha 60.00
_cell_angle_beta 60.00
_cell_angle_gamma 60.00
_space_group_name_H-M_alt 'P 1'
_space_group_IT_number 1
loop_
_space_group_symop_operation_xyz
'x,y,z'
loop_
_atom_site_label
_atom_site_type_symbol
_atom_site_fract_x
_atom_site_fract_y
_atom_site_fract_z
Sr1 Sr 0.2500 0.2500 0.2500
Sr2 Sr 0.7500 0.7500 0.7500
Cd1 Cd 0.2239 0.2239 0.7761
Cd2 Cd 0.2239 0.7761 0.2239
Cd3 Cd 0.2239 0.7761 0.7761
Cd4 Cd 0.7761 0.2239 0.2239
Cd5 Cd 0.7761 0.2239 0.7761
Cd6 Cd 0.7761 0.7761 0.2239
Hg1 Hg 0.1243 0.1243 0.1243
Hg2 Hg 0.1243 0.1243 0.6272
Hg3 Hg 0.1243 0.6272 0.1243
Hg4 Hg 0.1550 0.5000 0.5000
Hg5 Hg 0.1550 0.5000 0.8450
Hg6 Hg 0.1550 0.8450 0.5000
Hg7 Hg 0.3728 0.8757 0.8757
Hg8 Hg 0.5000 0.1550 0.5000
Hg9 Hg 0.5000 0.1550 0.8450
Hg10 Hg 0.5000 0.5000 0.1550
Hg11 Hg 0.5000 0.5000 0.5000
Hg12 Hg 0.5000 0.5000 0.8450
Hg13 Hg 0.5000 0.8450 0.1550
Hg14 Hg 0.5000 0.8450 0.5000
Hg15 Hg 0.6272 0.1243 0.1243
Hg16 Hg 0.8450 0.1550 0.5000
Hg17 Hg 0.8450 0.5000 0.1550
Hg18 Hg 0.8450 0.5000 0.5000
Hg19 Hg 0.8757 0.3728 0.8757
Hg20 Hg 0.8757 0.8757 0.3728
Hg21 Hg 0.8757 0.8757 0.8757
```

Calculated values
Uncorrected energy   -16.695 eV for the cell shown
Energy of formation from the pure elements   -0.05 eV per atom
Calculated density   9.98 Mg/m³

***

[4]
Here is a relaxed LiTaMn2 crystal from the Alexandria database. Energies are from PBE.

Geometry as CIF:
```
data_LiTaMn2
_cell_length_a 2.7091
_cell_length_b 2.7091
_cell_length_c 8.2662
_cell_angle_alpha 90.00
_cell_angle_beta 90.00
_cell_angle_gamma 96.11
_space_group_name_H-M_alt 'P 1'
_space_group_IT_number 1
loop_
_space_group_symop_operation_xyz
'x,y,z'
loop_
_atom_site_label
_atom_site_type_symbol
_atom_site_fract_x
_atom_site_fract_y
_atom_site_fract_z
Li1 Li 0.0000 0.0000 0.0000
Ta1 Ta 0.5000 0.5000 0.6959
Mn1 Mn 0.0000 0.0000 0.4533
Mn2 Mn 0.5000 0.5000 0.2685
```

Calculated values
Uncorrected energy   -30.964 eV for the cell shown
Energy of formation from the pure elements   0.29 eV per atom
Calculated density   8.20 Mg/m³

***

no.,total moment (μB/cell)
1,0.71
2,0.00
3,0.00
4,1.45